[1]
HfSc2Re | meta-GGA SCAN | PBEsol geometry

```
data_HfSc2Re
_space_group_name_H-M_alt 'F m -3 m'
_space_group_IT_number 225
_space_group_name_Hall '-F 4 2 3'
_cell_length_a 6.685
_cell_length_b 6.685
_cell_length_c 6.685
_cell_angle_alpha 90.00
_cell_angle_beta 90.00
_cell_angle_gamma 90.00
loop_
_atom_site_label
_atom_site_fract_x
_atom_site_fract_y
_atom_site_fract_z
Hf1 0.000 0.000 0.000
Sc1 0.250 0.250 0.250
Re1 0.000 0.000 0.500
```

Crystal system = cubic
Calculated formation energy = 66 kJ/mol of formula units

[2]
SrHf2ScRe | meta-GGA SCAN | PBEsol geometry

```
data_SrHf2ScRe
_space_group_name_H-M_alt 'P 4/m m m'
_space_group_IT_number 123
_space_group_name_Hall '-P 4 2'
_cell_length_a 4.869
_cell_length_b 4.869
_cell_length_c 4.982
_cell_angle_alpha 90.00
_cell_angle_beta 90.00
_cell_angle_gamma 90.00
loop_
_atom_site_label
_atom_site_fract_x
_atom_site_fract_y
_atom_site_fract_z
Sr1 0.000 0.000 0.000
Hf1 0.000 0.500 0.500
Sc1 0.000 0.000 0.500
Re1 0.500 0.500 0.000
```

Crystal system = tetragonal
Calculated formation energy = 971 kJ/mol of formula units

[3]
Hf9Re4Se | meta-GGA SCAN | PBEsol geometry

```
data_Hf9Re4Se
_space_group_name_H-M_alt 'P 63/m m c'
_space_group_IT_number 194
_space_group_name_Hall '-P 6c 2c'
_cell_length_a 8.5377
_cell_length_b 8.5377
_cell_length_c 8.4967
_cell_angle_alpha 90.00
_cell_angle_beta 90.00
_cell_angle_gamma 120.00
loop_
_atom_site_label
_atom_site_fract_x
_atom_site_fract_y
_atom_site_fract_z
Hf1 0.0882 0.5441 0.2500
Hf2 0.1922 0.3844 0.5501
Re1 0.0000 0.0000 0.0000
Re2 0.1101 0.2202 0.2500
Se1 0.3333 0.6667 0.7500
```

Crystal system = hexagonal
DFT total energy = -62.4741 eV per atom